LaDyTmGa after structural relaxation, computed with PBE.

abc: 7.630 7.630 7.630
angles: 90.00 90.00 90.00
Fractional coordinates of all 16 atoms:
La: 0.000 0.000 0.000
La: 0.000 0.500 0.500
La: 0.500 0.000 0.500
La: 0.500 0.500 0.000
Dy: 0.000 0.000 0.500
Dy: 0.000 0.500 0.000
Dy: 0.500 0.000 0.000
Dy: 0.500 0.500 0.500
Tm: 0.250 0.250 0.250
Tm: 0.250 0.750 0.750
Tm: 0.750 0.250 0.750
Tm: 0.750 0.750 0.250
Ga: 0.250 0.250 0.750
Ga: 0.250 0.750 0.250
Ga: 0.750 0.250 0.250
Ga: 0.750 0.750 0.750

Results
VASP energy ... -70.0 eV for the cell shown
Size of the total moment ... 0.1846 μB per atom
Formation energy ... -0.12 eV per atom